Arrangement A

Material: ZrCuOs2
Method: DFT, PBE-GGA
State: relaxed

Unit cell a=3.1075 b=4.3969 c=4.5681 alpha=90.00 beta=90.00 gamma=90.00
Closest atoms and distances in Å follow each position.
Space group Pmmm (No. 47)
Inequivalent atoms, fractional coordinates:
1 Zr 0.0000 0.0000 0.0000 (multiplicity 1)  4 Os 2.69, 4 Cu 2.76
2 Cu 0.5000 0.0000 0.5000 (multiplicity 1)  4 Os 2.69, 4 Zr 2.76
3 Os 0.0000 0.5000 0.5000 (multiplicity 1)  4 Cu 2.69, 4 Os 2.76
4 Os 0.5000 0.5000 0.0000 (multiplicity 1)  4 Zr 2.69, 4 Os 2.76

***

Arrangement B

Material: ZrCuOs2
Method: DFT, PBE-GGA
State: relaxed

Unit cell a=5.5001 b=9.1327 c=2.7812 alpha=90.00 beta=117.09 gamma=90.00
Closest atoms and distances in Å follow each position.
Space group C2/m (No. 12)
Inequivalent atoms, fractional coordinates:
1 Zr 0.0000 0.0000 0.0000 (multiplicity 2)  4 Os 2.70, 4 Cu 2.75-2.89, 2 Zr 2.78
2 Cu 0.0000 0.5000 0.0000 (multiplicity 2)  4 Os 2.70, 4 Zr 2.75-2.89, 2 Cu 2.78
3 Os 0.2500 0.2500 0.5000 (multiplicity 4)  2 Zr 2.70, 2 Cu 2.70, 6 Os 2.75-2.89

***

Arrangement C

Material: ZrCuOs2
Method: DFT, PBE-GGA
State: relaxed

Unit cell a=2.7761 b=2.7761 c=27.8477 alpha=90.00 beta=90.00 gamma=120.00
Closest atoms and distances in Å follow each position.
Space group R-3m (No. 166, hexagonal axes)
Inequivalent atoms, fractional coordinates:
1 Zr 0.0000 0.0000 0.0000 (multiplicity 3)  6 Zr 2.78, 6 Os 2.98
2 Cu 0.0000 0.0000 0.5000 (multiplicity 3)  6 Os 2.66, 6 Cu 2.78
3 Os 0.0000 0.0000 0.2429 (multiplicity 6)  3 Cu 2.66, 6 Os 2.78

***

Arrangement D

Material: ZrCuOs2
Method: DFT, PBE-GGA
State: relaxed

Unit cell a=6.3131 b=6.3131 c=6.3131 alpha=90.00 beta=90.00 gamma=90.00
Closest atoms and distances in Å follow each position.
Space group F-43m (No. 216)
Inequivalent atoms, fractional coordinates:
1 Zr 0.0000 0.0000 0.0000 (multiplicity 4)  4 Os 2.73, 4 Cu 2.73
2 Cu 0.2500 0.2500 0.7500 (multiplicity 4)  4 Zr 2.73, 4 Os 2.73
3 Os 0.0000 0.0000 0.5000 (multiplicity 4)  4 Cu 2.73, 4 Os 2.73
4 Os 0.2500 0.2500 0.2500 (multiplicity 4)  4 Zr 2.73, 4 Os 2.73

***

Tell me which of them is the least stable. Sure, it is arrangement C.

***

Arrangement A

Material: ZrCuOs2
Method: DFT, PBE-GGA
State: relaxed

Unit cell a=2.7622 b=4.5332 c=5.0107 alpha=90.00 beta=95.44 gamma=90.00
Closest atoms and distances in Å follow each position.
Space group P2/m (No. 10)
Inequivalent atoms, fractional coordinates:
1 Zr 0.0000 0.0000 0.0000 (multiplicity 1)  4 Cu 2.74-2.97, 2 Zr 2.76, 4 Os 2.80
2 Cu 0.5000 0.0000 0.5000 (multiplicity 1)  4 Os 2.63, 2 Zr 2.74, 2 Cu 2.76
3 Os 0.2902 0.5000 0.7273 (multiplicity 2)  2 Cu 2.63, 5 Os 2.65-2.87, 2 Zr 2.80

***

Arrangement B

Material: ZrCuOs2
Method: DFT, PBE-GGA
State: relaxed

Unit cell a=3.9191 b=3.9191 c=8.1746 alpha=90.00 beta=90.00 gamma=90.00
Closest atoms and distances in Å follow each position.
Space group I4/mmm (No. 139)
Inequivalent atoms, fractional coordinates:
1 Zr 0.0000 0.0000 0.0000 (multiplicity 2)  4 Cu 2.77, 8 Os 2.83
2 Cu 0.0000 0.0000 0.5000 (multiplicity 2)  4 Zr 2.77, 8 Os 2.83
3 Os 0.0000 0.5000 0.2500 (multiplicity 4)  4 Os 2.77, 4 Zr 2.83, 4 Cu 2.83

***

Tell me which of them is the least stable. Sure, it is arrangement B.

***

Arrangement A

Material: ZrCuOs2
Method: DFT, PBE-GGA
State: relaxed

Unit cell a=3.1637 b=4.5781 c=8.6240 alpha=90.00 beta=90.00 gamma=90.00
Closest atoms and distances in Å follow each position.
Space group Cmmm (No. 65)
Inequivalent atoms, fractional coordinates:
1 Zr 0.0000 0.0000 0.0000 (multiplicity 2)  4 Os 2.74, 4 Zr 2.78
2 Cu 0.0000 0.0000 0.5000 (multiplicity 2)  4 Os 2.61, 4 Cu 2.78
3 Os 0.0000 0.5000 0.2594 (multiplicity 4)  2 Cu 2.61, 2 Zr 2.74, 4 Os 2.78

***

Arrangement B

Material: ZrCuOs2
Method: DFT, PBE-GGA
State: relaxed

Unit cell a=6.3031 b=6.3031 c=6.3031 alpha=90.00 beta=90.00 gamma=90.00
Closest atoms and distances in Å follow each position.
Space group Fm-3m (No. 225)
Inequivalent atoms, fractional coordinates:
1 Zr 0.0000 0.0000 0.0000 (multiplicity 4)  8 Os 2.73
2 Cu 0.0000 0.0000 0.5000 (multiplicity 4)  8 Os 2.73
3 Os 0.2500 0.2500 0.2500 (multiplicity 8)  4 Cu 2.73, 4 Zr 2.73

***

Arrangement C

Material: ZrCuOs2
Method: DFT, PBE-GGA
State: relaxed

Unit cell a=3.9538 b=3.9538 c=7.9370 alpha=90.00 beta=90.00 gamma=90.00
Closest atoms and distances in Å follow each position.
Space group I-4m2 (No. 119)
Inequivalent atoms, fractional coordinates:
1 Zr 0.0000 0.0000 0.0000 (multiplicity 2)  8 Os 2.80, 4 Cu 2.80
2 Cu 0.0000 0.5000 0.7500 (multiplicity 2)  8 Os 2.80, 4 Zr 2.80
3 Os 0.0000 0.0000 0.5000 (multiplicity 2)  4 Zr 2.80, 4 Os 2.80, 4 Cu 2.80
4 Os 0.0000 0.5000 0.2500 (multiplicity 2)  4 Cu 2.80, 4 Zr 2.80, 4 Os 2.80

***

Arrangement D

Material: ZrCuOs2
Method: DFT, PBE-GGA
State: relaxed

Unit cell a=3.2559 b=3.2559 c=5.9060 alpha=90.00 beta=90.00 gamma=90.00
Closest atoms and distances in Å follow each position.
Space group P4/mmm (No. 123)
Inequivalent atoms, fractional coordinates:
1 Zr 0.0000 0.0000 0.0000 (multiplicity 1)  8 Os 2.83, 2 Cu 2.95
2 Cu 0.0000 0.0000 0.5000 (multiplicity 1)  8 Os 2.65, 2 Zr 2.95
3 Os 0.5000 0.5000 0.2794 (multiplicity 2)  1 Os 2.61, 4 Cu 2.65, 4 Zr 2.83

***

Tell me which of them is the least stable. Sure, it is arrangement A.

***

Arrangement A

Material: ZrCuOs
Method: DFT, PBE-GGA
State: relaxed

Unit cell a=5.9716 b=5.9716 c=5.9716 alpha=90.00 beta=90.00 gamma=90.00
Closest atoms and distances in Å follow each position.
Space group F-43m (No. 216)
Inequivalent atoms, fractional coordinates:
1 Zr 0.0000 0.0000 0.0000 (multiplicity 4)  4 Cu 2.59
2 Cu 0.2500 0.2500 0.7500 (multiplicity 4)  4 Zr 2.59, 4 Os 2.59
3 Os 0.0000 0.0000 0.5000 (multiplicity 4)  4 Cu 2.59

***

Arrangement B

Material: ZrCuOs
Method: DFT, PBE-GGA
State: relaxed

Unit cell a=6.1733 b=6.1733 c=6.1733 alpha=90.00 beta=90.00 gamma=90.00
Closest atoms and distances in Å follow each position.
Space group F-43m (No. 216)
Inequivalent atoms, fractional coordinates:
1 Zr 0.0000 0.0000 0.0000 (multiplicity 4)  4 Os 2.67, 4 Cu 2.67
2 Cu 0.2500 0.2500 0.7500 (multiplicity 4)  4 Zr 2.67
3 Os 0.2500 0.2500 0.2500 (multiplicity 4)  4 Zr 2.67

***

Arrangement C

Material: ZrCuOs
Method: DFT, PBE-GGA
State: relaxed

Unit cell a=3.3517 b=3.3517 c=8.6781 alpha=90.00 beta=90.00 gamma=90.00
Closest atoms and distances in Å follow each position.
Space group I4mm (No. 107)
Inequivalent atoms, fractional coordinates:
1 Zr 0.0000 0.0000 0.0000 (multiplicity 2)  5 Os 2.78-2.89, 5 Cu 2.80-2.83
2 Cu 0.0000 0.0000 0.3222 (multiplicity 2)  5 Os 2.73-2.99, 5 Zr 2.80-2.83
3 Os 0.0000 0.0000 0.6665 (multiplicity 2)  5 Cu 2.73-2.99, 5 Zr 2.78-2.89

***

Tell me which of them is the least stable. Sure, it is arrangement B.

***

Arrangement A

Material: ZrCu2Os
Method: DFT, PBE-GGA
State: relaxed

Unit cell a=2.8479 b=2.8479 c=7.4076 alpha=90.00 beta=90.00 gamma=90.00
Closest atoms and distances in Å follow each position.
Space group P4/mmm (No. 123)
Inequivalent atoms, fractional coordinates:
1 Zr 0.0000 0.0000 0.0000 (multiplicity 1)  4 Zr 2.85, 8 Cu 2.86
2 Cu 0.5000 0.5000 0.2746 (multiplicity 2)  4 Os 2.62, 4 Cu 2.85, 4 Zr 2.86
3 Os 0.0000 0.0000 0.5000 (multiplicity 1)  8 Cu 2.62, 4 Os 2.85

***

Arrangement B

Material: ZrCu2Os
Method: DFT, PBE-GGA
State: relaxed

Unit cell a=3.8303 b=3.8303 c=4.0927 alpha=90.00 beta=90.00 gamma=90.00
Closest atoms and distances in Å follow each position.
Space group P4/mmm (No. 123)
Inequivalent atoms, fractional coordinates:
1 Zr 0.0000 0.0000 0.0000 (multiplicity 1)  4 Os 2.71, 8 Cu 2.80
2 Cu 0.0000 0.5000 0.5000 (multiplicity 2)  4 Cu 2.71, 4 Zr 2.80, 4 Os 2.80
3 Os 0.5000 0.5000 0.0000 (multiplicity 1)  4 Zr 2.71, 8 Cu 2.80

***

Arrangement C

Material: ZrCu2Os
Method: DFT, PBE-GGA
State: relaxed

Unit cell a=3.7550 b=3.7550 c=18.8796 alpha=90.00 beta=90.00 gamma=90.00
Closest atoms and distances in Å follow each position.
Space group I-42d (No. 122)
Inequivalent atoms, fractional coordinates:
1 Zr 0.0000 0.0000 0.0000 (multiplicity 4)  4 Os 2.66, 4 Cu 2.77
2 Cu 0.2088 0.2500 0.6250 (multiplicity 8)  2 Cu 2.45, 2 Os 2.66
3 Os 0.0000 0.0000 0.5000 (multiplicity 4)  4 Zr 2.66, 4 Cu 2.66

***

Tell me which of them is the least stable. Sure, it is arrangement C.

***

Arrangement A

Material: ZrCu2Os
Method: DFT, PBE-GGA
State: relaxed

Unit cell a=6.2043 b=6.2043 c=6.2043 alpha=90.00 beta=90.00 gamma=90.00
Closest atoms and distances in Å follow each position.
Space group Fm-3m (No. 225)
Inequivalent atoms, fractional coordinates:
1 Zr 0.0000 0.0000 0.0000 (multiplicity 4)  8 Cu 2.69
2 Cu 0.2500 0.2500 0.2500 (multiplicity 8)  4 Zr 2.69, 4 Os 2.69
3 Os 0.0000 0.0000 0.5000 (multiplicity 4)  8 Cu 2.69

***

Arrangement B

Material: ZrCu2Os
Method: DFT, PBE-GGA
State: relaxed

Unit cell a=3.2986 b=3.2986 c=5.6573 alpha=90.00 beta=90.00 gamma=90.00
Closest atoms and distances in Å follow each position.
Space group P4mm (No. 99)
Inequivalent atoms, fractional coordinates:
1 Zr 0.0000 0.0000 0.0000 (multiplicity 1)  4 Os 2.73, 6 Cu 2.78-2.88
2 Cu 0.0000 0.0000 0.4916 (multiplicity 1)  4 Cu 2.59, 4 Os 2.75, 2 Zr 2.78-2.88
3 Cu 0.5000 0.5000 0.2916 (multiplicity 1)  4 Cu 2.59, 1 Os 2.59, 4 Zr 2.86
4 Os 0.5000 0.5000 0.7502 (multiplicity 1)  5 Cu 2.59-2.75, 4 Zr 2.73

***

Tell me which of them is the least stable. Sure, it is arrangement A.

***

Arrangement A

Material: ZrCu2Os
Method: DFT, PBE-GGA
State: relaxed

Unit cell a=2.7481 b=2.7481 c=27.7095 alpha=90.00 beta=90.00 gamma=120.00
Closest atoms and distances in Å follow each position.
Space group R-3m (No. 166, hexagonal axes)
Inequivalent atoms, fractional coordinates:
1 Zr 0.0000 0.0000 0.0000 (multiplicity 3)  6 Zr 2.75, 6 Cu 2.94
2 Cu 0.0000 0.0000 0.2440 (multiplicity 6)  3 Os 2.67, 6 Cu 2.75, 3 Zr 2.94
3 Os 0.0000 0.0000 0.5000 (multiplicity 3)  6 Cu 2.67, 6 Os 2.75

***

Arrangement B

Material: ZrCu2Os
Method: DFT, PBE-GGA
State: relaxed

Unit cell a=2.7392 b=4.2446 c=5.2487 alpha=90.00 beta=99.81 gamma=90.00
Closest atoms and distances in Å follow each position.
Space group Pm (No. 6)
Inequivalent atoms, fractional coordinates:
1 Zr 0.0000 0.0000 0.0000 (multiplicity 1)  7 Cu 2.67-2.90, 2 Zr 2.74, 2 Os 2.76
2 Cu 0.5778 0.5000 0.2571 (multiplicity 1)  2 Cu 2.45, 2 Os 2.69-2.73
3 Cu 0.6566 0.0000 0.4920 (multiplicity 1)  2 Cu 2.45, 1 Zr 2.67
4 Os 0.2397 0.5000 0.7093 (multiplicity 1)  7 Cu 2.69-2.87, 2 Os 2.74, 2 Zr 2.76

***

Tell me which of them is the least stable. Sure, it is arrangement A.

***

Arrangement A

Material: CuP3
Method: DFT, PBE-GGA
State: relaxed

Unit cell a=2.5664 b=10.3978 c=4.9500 alpha=90.00 beta=90.00 gamma=90.00
Closest atoms and distances in Å follow each position.
Space group Imm2 (No. 44)
Inequivalent atoms, fractional coordinates:
1 Cu 0.0000 0.0000 0.0000 (multiplicity 2)  6 P 2.40-2.53, 2 Cu 2.57
2 P 0.0000 0.3420 0.7910 (multiplicity 4)  1 P 2.21
3 P 0.0000 0.5000 0.0903 (multiplicity 2)  2 P 2.21, 2 Cu 2.40

***

Arrangement B

Material: CuP3
Method: DFT, PBE-GGA
State: relaxed

Unit cell a=2.5231 b=4.6341 c=5.0408 alpha=90.00 beta=90.00 gamma=90.00
Closest atoms and distances in Å follow each position.
Space group Pmmm (No. 47)
Inequivalent atoms, fractional coordinates:
1 Cu 0.0000 0.0000 0.0000 (multiplicity 1)  2 P 2.52, 2 Cu 2.52
2 P 0.0000 0.0000 0.5000 (multiplicity 1)  2 Cu 2.52, 2 P 2.52
3 P 0.5000 0.5000 0.2163 (multiplicity 2)  1 P 2.18

***

Arrangement C

Material: CuP3
Method: DFT, PBE-GGA
State: relaxed

Unit cell a=3.3400 b=3.6312 c=9.7500 alpha=90.00 beta=90.00 gamma=90.00
Closest atoms and distances in Å follow each position.
Space group Immm (No. 71)
Inequivalent atoms, fractional coordinates:
1 Cu 0.0000 0.0000 0.0000 (multiplicity 2)  8 P 2.47-2.53
2 P 0.0000 0.0000 0.5000 (multiplicity 2)  4 P 2.43, 4 Cu 2.47
3 P 0.0000 0.5000 0.1814 (multiplicity 4)  2 P 2.43, 2 Cu 2.53

***

Tell me which of them is the least stable. Sure, it is arrangement B.

***

Arrangement A

Material: CuP3
Method: DFT, PBE-GGA
State: relaxed

Unit cell a=2.9650 b=2.9650 c=6.2856 alpha=90.00 beta=90.00 gamma=90.00
Closest atoms and distances in Å follow each position.
Space group P4/mmm (No. 123)
Inequivalent atoms, fractional coordinates:
1 Cu 0.0000 0.0000 0.0000 (multiplicity 1)  8 P 2.62
2 P 0.0000 0.0000 0.5000 (multiplicity 1)  8 P 2.62
3 P 0.5000 0.5000 0.2510 (multiplicity 2)  4 P 2.62, 4 Cu 2.62

***

Arrangement B

Material: CuP3
Method: DFT, PBE-GGA
State: relaxed

Unit cell a=3.2913 b=3.5659 c=10.7960 alpha=90.00 beta=90.00 gamma=90.00
Closest atoms and distances in Å follow each position.
Space group Cmmm (No. 65)
Inequivalent atoms, fractional coordinates:
1 Cu 0.0000 0.0000 0.0000 (multiplicity 2)  4 Cu 2.43, 8 P 2.62-2.71
2 P 0.0000 0.0000 0.5000 (multiplicity 2)  4 P 2.43
3 P 0.0000 0.5000 0.1894 (multiplicity 4)  4 P 2.43, 4 Cu 2.62-2.71

***

Arrangement C

Material: CuP3
Method: DFT, PBE-GGA
State: relaxed

Unit cell a=4.1638 b=4.1638 c=6.4095 alpha=90.00 beta=90.00 gamma=90.00
Closest atoms and distances in Å follow each position.
Space group I4/mmm (No. 139)
Inequivalent atoms, fractional coordinates:
1 Cu 0.0000 0.0000 0.0000 (multiplicity 2)  8 P 2.63
2 P 0.0000 0.0000 0.5000 (multiplicity 2)  8 P 2.63
3 P 0.0000 0.5000 0.2500 (multiplicity 4)  4 Cu 2.63, 4 P 2.63

***

Arrangement D

Material: CuP3
Method: DFT, PBE-GGA
State: relaxed

Unit cell a=2.5991 b=2.5991 c=10.2676 alpha=90.00 beta=90.00 gamma=120.00
Closest atoms and distances in Å follow each position.
Space group P-6m2 (No. 187)
Inequivalent atoms, fractional coordinates:
1 Cu 0.0000 0.0000 0.0000 (multiplicity 1)  6 P 2.55, 6 Cu 2.60
2 P 0.0000 0.0000 0.5000 (multiplicity 1)  6 P 2.60
3 P 0.6667 0.3333 0.2014 (multiplicity 2)  3 Cu 2.55, 6 P 2.60

***

Tell me which of them is the least stable. Sure, it is arrangement C.